# Ta2Au

Ta2Au at its PBEsol-relaxed geometry (SCAN, Alexandria via LeMat-Bulk).

extended XYZ file:
```
30
Lattice="9.9863 0.0000 0.0000 0.0000 9.9863 0.0000 0.0000 0.0000 5.1636" Properties=species:S:1:pos:R:3 pbc="T T T"
Ta 0.3565 3.7065 0.0000
Ta 1.0392 1.0392 0.0000
Ta 1.2867 5.3497 2.5818
Ta 1.8268 8.1596 1.2909
Ta 1.8268 8.1596 3.8727
Ta 3.1664 3.1664 1.2909
Ta 3.1664 3.1664 3.8728
Ta 3.7065 0.3565 0.0000
Ta 3.9540 6.0323 2.5818
Ta 4.6366 8.6996 2.5818
Ta 5.3497 1.2867 2.5818
Ta 6.0323 3.9540 2.5818
Ta 6.2798 9.6298 0.0000
Ta 6.8199 6.8199 1.2909
Ta 6.8199 6.8199 3.8728
Ta 8.1596 1.8268 1.2909
Ta 8.1596 1.8268 3.8727
Ta 8.6996 4.6366 2.5818
Ta 8.9471 8.9471 0.0000
Ta 9.6298 6.2798 0.0000
Au 0.0000 0.0000 2.5818
Au 0.6407 2.6630 2.5818
Au 2.3301 5.6339 0.0000
Au 2.6630 0.6407 2.5818
Au 4.3524 7.6562 0.0000
Au 4.9932 4.9932 0.0000
Au 5.6339 2.3301 0.0000
Au 7.3233 9.3456 2.5818
Au 7.6562 4.3524 0.0000
Au 9.3456 7.3233 2.5818
```

Spin magnetization ... 0.00 μB/f.u.
D(E_F) ... 0.670 states/eV/atom
Formation enthalpy at 0 K ... -17.8 kJ/mol of atoms

# TaAu3

TaAu3 at its PBEsol-relaxed geometry (SCAN, Alexandria via LeMat-Bulk).

extended XYZ file:
```
4
Lattice="2.9246 0.0000 0.0000 -1.4623 2.5328 0.0000 0.0000 0.0000 9.2373" Properties=species:S:1:pos:R:3 pbc="T T T"
Ta 0.0000 0.0000 0.0000
Au 0.0000 0.0000 4.6187
Au 0.0000 1.6885 2.2520
Au 0.0000 1.6885 6.9853
```

Spin magnetization ... 0.00 μB/f.u.
D(E_F) ... 0.428 states/eV/atom
Formation enthalpy at 0 K ... -6.6 kJ/mol of atoms

# Ta5Au

Ta5Au at its PBEsol-relaxed geometry (SCAN, Alexandria via LeMat-Bulk).

extended XYZ file:
```
6
Lattice="5.5106 0.0000 0.0000 -2.7553 4.7723 0.0000 0.0000 0.0000 4.4473" Properties=species:S:1:pos:R:3 pbc="T T T"
Ta -1.3777 2.3862 0.0000
Ta 0.0000 3.1816 2.2236
Ta 2.7553 0.0000 0.0000
Ta 1.3777 2.3862 0.0000
Ta 2.7553 1.5908 2.2236
Au 0.0000 0.0000 2.2236
```

Spin magnetization ... 0.00 μB/f.u.
D(E_F) ... 0.887 states/eV/atom
Formation enthalpy at 0 K ... 63.9 kJ/mol of atoms

# TaAu3

TaAu3 at its PBEsol-relaxed geometry (SCAN, Alexandria via LeMat-Bulk).

extended XYZ file:
```
4
Lattice="2.9083 0.0000 0.0000 0.0000 3.8901 0.0000 0.0000 0.0000 6.0036" Properties=species:S:1:pos:R:3 pbc="T T T"
Ta 0.0000 0.0000 0.0000
Au 0.0000 0.0000 3.0018
Au 1.4541 1.9451 1.4522
Au 1.4541 1.9451 4.5514
```

Spin magnetization ... 0.00 μB/f.u.
D(E_F) ... 0.544 states/eV/atom
Formation enthalpy at 0 K ... -8.1 kJ/mol of atoms

# TaTc2Au

TaTc2Au at its PBEsol-relaxed geometry (SCAN, Alexandria via LeMat-Bulk).

extended XYZ file:
```
4
Lattice="-1.9946 1.9946 3.8681 1.9946 -1.9946 3.8681 1.9946 1.9946 -3.8681" Properties=species:S:1:pos:R:3 pbc="T T T"
Ta 0.0000 0.0000 0.0000
Tc 1.9946 0.0000 1.9341
Tc 0.0000 1.9946 1.9341
Au 0.0000 0.0000 3.8681
```

Spin magnetization ... 0.00 μB/f.u.
D(E_F) ... 1.130 states/eV/atom
Formation enthalpy at 0 K ... 4.9 kJ/mol of atoms

# TaTcAu3

TaTcAu3 at its PBEsol-relaxed geometry (SCAN, Alexandria via LeMat-Bulk).

extended XYZ file:
```
5
Lattice="4.8034 0.0000 0.0000 0.0000 4.8034 0.0000 0.0000 0.0000 4.8034" Properties=species:S:1:pos:R:3 pbc="T T T"
Ta 0.0000 0.0000 0.0000
Tc 2.4017 2.4017 2.4017
Au 0.0000 2.4017 2.4017
Au 2.4017 0.0000 2.4017
Au 2.4017 2.4017 0.0000
```

Spin magnetization ... 0.95 μB/f.u.
D(E_F) ... 1.128 states/eV/atom
Formation enthalpy at 0 K ... 167.3 kJ/mol of atoms